<A>
DFT (GGA-PBE) results for a relaxed PmPuRh crystal.

Cell: 4.781 4.781 7.162 Å, 90.00 90.00 120.00°
Atoms (fractional coordinates):
Pm 0.000 0.000 0.000
Pm 0.000 0.000 0.500
Pu 0.333 0.667 0.250
Pu 0.667 0.333 0.750
Rh 0.333 0.667 0.750
Rh 0.667 0.333 0.250

<B>
DFT (GGA-PBE) results for a relaxed PmPuRh crystal.

Cell: 4.857 4.857 4.857 Å, 60.00 60.00 60.00°
Atoms (fractional coordinates):
Pm 0.000 0.000 0.000
Pu 0.500 0.500 0.500
Rh 0.750 0.750 0.750

<C>
DFT (GGA-PBE) results for a relaxed PmPuRh crystal.

Cell: 4.718 4.718 3.697 Å, 90.00 90.00 120.00°
Atoms (fractional coordinates):
Pm 0.000 0.000 0.000
Pu 0.333 0.667 0.431
Rh 0.667 0.333 0.625

<A> (0.031 eV/atom below the next structure)

<A>
DFT (GGA-PBE) results for a relaxed Pm3PuRh3 crystal.

Cell: 6.987 6.987 7.042 Å, 90.13 90.13 93.90°
Atoms (fractional coordinates):
Pm 0.180 0.820 0.000
Pm 0.262 0.738 0.500
Pm 0.326 0.326 0.892
Pm 0.674 0.674 0.108
Pm 0.738 0.262 0.500
Pm 0.820 0.180 0.000
Pu 0.231 0.231 0.373
Pu 0.769 0.769 0.627
Rh 0.016 0.494 0.222
Rh 0.064 0.064 0.695
Rh 0.494 0.016 0.222
Rh 0.506 0.984 0.778
Rh 0.936 0.936 0.305
Rh 0.984 0.506 0.778

<B>
DFT (GGA-PBE) results for a relaxed Pm3PuRh3 crystal.

Cell: 6.323 6.323 14.661 Å, 111.12 111.12 38.08°
Atoms (fractional coordinates):
Pm 0.010 0.010 0.140
Pm 0.109 0.109 0.427
Pm 0.224 0.224 0.708
Pm 0.776 0.776 0.292
Pm 0.891 0.891 0.573
Pm 0.990 0.990 0.860
Pu 0.279 0.279 0.098
Pu 0.721 0.721 0.902
Rh 0.378 0.378 0.950
Rh 0.379 0.379 0.432
Rh 0.469 0.469 0.276
Rh 0.531 0.531 0.724
Rh 0.621 0.621 0.568
Rh 0.622 0.622 0.050

<B> (0.062 eV/atom below the next structure)

<A>
DFT (GGA-PBE) results for a relaxed PmPuTlRh crystal.

Cell: 3.440 3.440 8.410 Å, 90.00 90.00 90.00°
Atoms (fractional coordinates):
Pm 0.000 0.000 0.000
Pu 0.000 0.000 0.587
Tl 0.500 0.500 0.298
Rh 0.500 0.500 0.789

<B>
DFT (GGA-PBE) results for a relaxed PmPuTlRh crystal.

Cell: 5.196 5.196 5.196 Å, 60.00 60.00 60.00°
Atoms (fractional coordinates):
Pm 0.000 0.000 0.000
Pu 0.500 0.500 0.500
Tl 0.250 0.250 0.250
Rh 0.750 0.750 0.750

<A> (0.160 eV/atom below the next structure)

<A>
DFT (GGA-PBE) results for a relaxed PmPuRu crystal.

Cell: 5.981 5.981 8.097 Å, 124.13 124.13 38.89°
Atoms (fractional coordinates):
Pm 0.079 0.079 0.357
Pm 0.921 0.921 0.643
Pu 0.327 0.327 0.913
Pu 0.673 0.673 0.087
Ru 0.354 0.354 0.302
Ru 0.646 0.646 0.698

<B>
DFT (GGA-PBE) results for a relaxed PmPuRu crystal.

Cell: 4.790 4.790 6.797 Å, 90.00 90.00 90.00°
Atoms (fractional coordinates):
Pm 0.250 0.750 0.000
Pm 0.750 0.250 0.000
Pu 0.250 0.750 0.500
Pu 0.750 0.250 0.500
Ru 0.250 0.250 0.277
Ru 0.750 0.750 0.723

<A> (0.143 eV/atom below the next structure)

<A>
DFT (GGA-PBE) results for a relaxed PmPuRu crystal.

Cell: 4.807 4.807 4.807 Å, 60.00 60.00 60.00°
Atoms (fractional coordinates):
Pm 0.000 0.000 0.000
Pu 0.500 0.500 0.500
Ru 0.750 0.750 0.750

<B>
DFT (GGA-PBE) results for a relaxed PmPuRu crystal.

Cell: 4.436 4.436 4.346 Å, 90.00 90.00 120.00°
Atoms (fractional coordinates):
Pm 0.000 0.000 0.000
Pu 0.667 0.333 0.500
Ru 0.333 0.667 0.500

<C>
DFT (GGA-PBE) results for a relaxed PmPuRu crystal.

Cell: 6.097 6.097 6.097 Å, 145.89 145.89 49.00°
Atoms (fractional coordinates):
Pm 0.000 0.000 0.000
Pu 0.287 0.287 0.000
Ru 0.688 0.688 0.000

<D>
DFT (GGA-PBE) results for a relaxed PmPuRu crystal.

Cell: 3.329 6.821 6.882 Å, 103.98 90.01 90.07°
Atoms (fractional coordinates):
Pm 0.000 0.064 0.260
Pm 0.000 0.936 0.740
Pu 0.000 0.439 0.745
Pu 0.000 0.561 0.255
Ru 0.500 0.266 0.999
Ru 0.500 0.734 0.001

<C> (0.047 eV/atom below the next structure)

<A>
DFT (GGA-PBE) results for a relaxed Pm2PuRu3 crystal.

Cell: 6.483 6.483 6.483 Å, 140.18 128.76 66.79°
Atoms (fractional coordinates):
Pm 0.172 0.172 0.000
Pm 0.828 0.828 0.000
Pu 0.500 0.500 0.000
Ru 0.000 0.500 0.500
Ru 0.370 0.870 0.500
Ru 0.630 0.130 0.500

<B>
DFT (GGA-PBE) results for a relaxed Pm2PuRu3 crystal.

Cell: 5.863 5.863 8.125 Å, 90.00 90.00 120.00°
Atoms (fractional coordinates):
Pm 0.333 0.667 0.062
Pm 0.333 0.667 0.438
Pm 0.667 0.333 0.562
Pm 0.667 0.333 0.938
Pu 0.000 0.000 0.000
Pu 0.000 0.000 0.500
Ru 0.167 0.334 0.750
Ru 0.167 0.833 0.750
Ru 0.334 0.167 0.250
Ru 0.666 0.833 0.750
Ru 0.833 0.167 0.250
Ru 0.833 0.666 0.250

<B> (0.407 eV/atom below the next structure)

<A>
DFT (GGA-PBE) results for a relaxed PmPuSb crystal.

Cell: 5.218 5.218 5.218 Å, 60.00 60.00 60.00°
Atoms (fractional coordinates):
Pm 0.000 0.000 0.000
Pu 0.500 0.500 0.500
Sb 0.750 0.750 0.750

<B>
DFT (GGA-PBE) results for a relaxed PmPuSb crystal.

Cell: 5.299 5.299 3.316 Å, 90.00 90.00 120.00°
Atoms (fractional coordinates):
Pm 0.000 0.000 0.000
Pu 0.333 0.667 0.002
Sb 0.667 0.333 0.500

<A> (0.195 eV/atom below the next structure)

<A>
DFT (GGA-PBE) results for a relaxed Pm2PuSb crystal.

Cell: 4.052 4.052 7.218 Å, 90.00 90.00 90.00°
Atoms (fractional coordinates):
Pm 0.000 0.000 0.228
Pm 0.000 0.000 0.772
Pu 0.500 0.500 0.500
Sb 0.500 0.500 0.000

<B>
DFT (GGA-PBE) results for a relaxed Pm2PuSb crystal.

Cell: 4.940 4.940 4.636 Å, 90.00 90.00 90.00°
Atoms (fractional coordinates):
Pm 0.000 0.500 0.000
Pm 0.500 0.000 0.000
Pu 0.000 0.000 0.500
Sb 0.500 0.500 0.500

<B> (0.063 eV/atom below the next structure)

<A>
DFT (GGA-PBE) results for a relaxed Pm2PuSb crystal.

Cell: 5.444 5.444 5.444 Å, 60.00 60.00 60.00°
Atoms (fractional coordinates):
Pm 0.250 0.250 0.250
Pm 0.750 0.750 0.750
Pu 0.000 0.000 0.000
Sb 0.500 0.500 0.500

<B>
DFT (GGA-PBE) results for a relaxed Pm2PuSb crystal.

Cell: 12.011 12.011 12.011 Å, 16.62 16.62 16.62°
Atoms (fractional coordinates):
Pm 0.093 0.093 0.093
Pm 0.907 0.907 0.907
Pu 0.000 0.000 0.000
Sb 0.500 0.500 0.500

<A> (0.281 eV/atom below the next structure)

<A>
DFT (GGA-PBE) results for a relaxed PmPu2Sb crystal.

Cell: 4.618 4.618 5.058 Å, 90.00 90.00 90.00°
Atoms (fractional coordinates):
Pm 0.000 0.000 0.000
Pu 0.000 0.500 0.500
Pu 0.500 0.000 0.500
Sb 0.500 0.500 0.000

<B>
DFT (GGA-PBE) results for a relaxed PmPu2Sb crystal.

Cell: 4.192 4.192 6.466 Å, 90.00 90.00 90.00°
Atoms (fractional coordinates):
Pm 0.000 0.000 0.000
Pu 0.500 0.500 0.274
Pu 0.500 0.500 0.726
Sb 0.000 0.000 0.500

<C>
DFT (GGA-PBE) results for a relaxed PmPu2Sb crystal.

Cell: 5.385 5.385 5.385 Å, 60.00 60.00 60.00°
Atoms (fractional coordinates):
Pm 0.000 0.000 0.000
Pu 0.250 0.250 0.250
Pu 0.750 0.750 0.750
Sb 0.500 0.500 0.500

<A> (0.090 eV/atom below the next structure)

<A>
DFT (GGA-PBE) results for a relaxed PmPuSbSe crystal.

Cell: 5.297 5.297 5.297 Å, 60.00 60.00 60.00°
Atoms (fractional coordinates):
Pm 0.000 0.000 0.000
Pu 0.500 0.500 0.500
Sb 0.750 0.750 0.750
Se 0.250 0.250 0.250

<B>
DFT (GGA-PBE) results for a relaxed PmPuSbSe crystal.

Cell: 7.453 7.453 7.453 Å, 33.82 33.82 33.82°
Atoms (fractional coordinates):
Pm 0.000 0.000 0.000
Pu 0.491 0.491 0.491
Sb 0.244 0.244 0.244
Se 0.748 0.748 0.748

<B> (0.259 eV/atom below the next structure)

<A>
DFT (GGA-PBE) results for a relaxed PmPuSc2 crystal.

Cell: 11.096 11.096 11.096 Å, 17.49 17.49 17.49°
Atoms (fractional coordinates):
Pm 0.000 0.000 0.000
Pu 0.166 0.166 0.166
Sc 0.579 0.579 0.579
Sc 0.753 0.753 0.753

<B>
DFT (GGA-PBE) results for a relaxed PmPuSc2 crystal.

Cell: 4.825 4.825 4.665 Å, 90.00 90.00 90.00°
Atoms (fractional coordinates):
Pm 0.000 0.000 0.000
Pu 0.500 0.500 0.000
Sc 0.000 0.500 0.500
Sc 0.500 0.000 0.500

<C>
DFT (GGA-PBE) results for a relaxed PmPuSc2 crystal.

Cell: 3.385 3.385 9.440 Å, 90.00 90.00 90.00°
Atoms (fractional coordinates):
Pm 0.000 0.000 0.000
Pu 0.000 0.000 0.500
Sc 0.500 0.500 0.263
Sc 0.500 0.500 0.737

<C> (0.011 eV/atom below the next structure)